Zn3Co9O16: optimized geometry, PBE+U.

Unit cell a=10.1889 b=10.1889 c=10.1889 alpha=33.30 beta=33.30 gamma=33.30
Sites, in units of the cell vectors:
Zn: 0.0000 0.0000 0.0000
Zn: 0.1241 0.1241 0.1241
Zn: 0.3109 0.3109 0.3109
Co: 0.0616 0.0616 0.5605
Co: 0.0616 0.5605 0.0616
Co: 0.0631 0.5627 0.5627
Co: 0.5021 0.5021 0.5021
Co: 0.5605 0.0616 0.0616
Co: 0.5627 0.0631 0.5627
Co: 0.5627 0.5627 0.0631
Co: 0.6221 0.6221 0.6221
Co: 0.8137 0.8137 0.8137
O: 0.1580 0.7066 0.7066
O: 0.1933 0.1933 0.1933
O: 0.2071 0.2071 0.6655
O: 0.2071 0.6655 0.2071
O: 0.4181 0.4181 0.9542
O: 0.4181 0.9542 0.4181
O: 0.4362 0.4362 0.4362
O: 0.4718 0.9163 0.9163
O: 0.6655 0.2071 0.2071
O: 0.6888 0.6888 0.6888
O: 0.7066 0.1580 0.7066
O: 0.7066 0.7066 0.1580
O: 0.9163 0.4718 0.9163
O: 0.9163 0.9163 0.4718
O: 0.9297 0.9297 0.9297
O: 0.9542 0.4181 0.4181

Its space group is R3m, No. 160. The energy comes out at -5.654 eV per atom. The total moment is 0.93 μB/f.u. For the calculated volume, the calculation gives 283.8 Å³ per cell.